## LaTlFe2 (SCAN)

Data for a crystal of LaTlFe2 relaxed with PBEsol. Values from VASP.

```
&SYSTEM
  ibrav = 0, nat = 8, ntyp = 3
/
ATOMIC_SPECIES
La 138.91 La.upf
Tl 204.38 Tl.upf
Fe 55.84 Fe.upf
CELL_PARAMETERS angstrom
3.678 0.000 0.000
0.000 4.204 0.000
0.000 0.000 9.926
ATOMIC_POSITIONS crystal
La 0.000 0.000 0.000
La 0.000 0.500 0.500
Tl 0.500 0.000 0.291
Tl 0.500 0.500 0.791
Fe 0.000 0.000 0.714
Fe 0.000 0.500 0.214
Fe 0.500 0.000 0.583
Fe 0.500 0.500 0.083
```

Summary:
The calculation puts the distance to the lowest polymorph of the same formula at 0.00 eV per formula unit. As for the final energy: -302.0 eV per cell. The density is 9.8 Mg/m³. The calculated formation energy comes out at 4.1 kcal/mol of atoms.


## Mo2Os2Pb (SCAN)

Data for a crystal of Mo2Os2Pb relaxed with PBEsol. Values from VASP.

```
&SYSTEM
  ibrav = 0, nat = 10, ntyp = 3
/
ATOMIC_SPECIES
Mo 95.94 Mo.upf
Os 190.23 Os.upf
Pb 207.20 Pb.upf
CELL_PARAMETERS angstrom
3.981 0.000 0.000
0.000 3.981 0.000
0.000 0.000 11.612
ATOMIC_POSITIONS crystal
Mo 0.000 0.000 0.117
Mo 0.000 0.000 0.883
Mo 0.500 0.500 0.383
Mo 0.500 0.500 0.617
Os 0.000 0.500 0.250
Os 0.000 0.500 0.750
Os 0.500 0.000 0.250
Os 0.500 0.000 0.750
Pb 0.000 0.000 0.500
Pb 0.500 0.500 0.000
```

Summary:
As for the final energy: -573.6 eV per cell. The density is 14.1 Mg/m³. The calculated formation energy comes out at 11.6 kcal/mol of atoms.


## Cs4Mg3H10 (SCAN)

Data for a crystal of Cs4Mg3H10 relaxed with PBEsol. Values from VASP.

```
&SYSTEM
  ibrav = 0, nat = 34, ntyp = 3
/
ATOMIC_SPECIES
Cs 132.91 Cs.upf
Mg 24.30 Mg.upf
H 1.01 H.upf
CELL_PARAMETERS angstrom
3.079 -7.240 0.000
3.079 7.240 0.000
0.000 0.000 13.547
ATOMIC_POSITIONS crystal
Cs 0.043 0.957 0.861
Cs 0.244 0.756 0.606
Cs 0.256 0.744 0.106
Cs 0.457 0.543 0.361
Cs 0.543 0.457 0.639
Cs 0.744 0.256 0.894
Cs 0.756 0.244 0.394
Cs 0.957 0.043 0.139
Mg 0.000 0.000 0.500
Mg 0.120 0.880 0.344
Mg 0.380 0.620 0.844
Mg 0.500 0.500 0.000
Mg 0.620 0.380 0.156
Mg 0.880 0.120 0.656
H 0.023 0.977 0.643
H 0.113 0.306 0.539
H 0.139 0.361 0.750
H 0.194 0.387 0.961
H 0.250 0.750 0.355
H 0.250 0.750 0.855
H 0.306 0.113 0.461
H 0.361 0.139 0.250
H 0.387 0.194 0.039
H 0.477 0.523 0.143
H 0.523 0.477 0.857
H 0.613 0.806 0.961
H 0.639 0.861 0.750
H 0.694 0.887 0.539
H 0.750 0.250 0.145
H 0.750 0.250 0.645
H 0.806 0.613 0.039
H 0.861 0.639 0.250
H 0.887 0.694 0.461
H 0.977 0.023 0.357
```

Summary:
As for the final energy: -413.4 eV per cell. The density is 3.4 Mg/m³.


## Sr3Al2Ge4 (SCAN)

Data for a crystal of Sr3Al2Ge4 relaxed with PBEsol. Values from VASP.

```
&SYSTEM
  ibrav = 0, nat = 9, ntyp = 3
/
ATOMIC_SPECIES
Sr 87.62 Sr.upf
Al 26.98 Al.upf
Ge 72.64 Ge.upf
CELL_PARAMETERS angstrom
6.223 -2.088 0.000
6.223 2.088 0.000
-3.009 0.000 8.271
ATOMIC_POSITIONS crystal
Sr 0.000 0.000 0.000
Sr 0.394 0.394 0.313
Sr 0.606 0.606 0.687
Al 0.295 0.295 0.649
Al 0.705 0.705 0.351
Ge 0.105 0.105 0.392
Ge 0.288 0.288 0.943
Ge 0.712 0.712 0.057
Ge 0.895 0.895 0.608
```

Summary:
As for the final energy: -163.8 eV per cell. The density is 4.7 Mg/m³. The calculated formation energy comes out at -13.1 kcal/mol of atoms.